# 1
CaPmO | PBE | optimized geometry

Unit cell a=3.5394 b=3.5394 c=6.2204 alpha=90.00 beta=90.00 gamma=120.00
With the nearest neighbours (Å) after each atom.
Fractional positions:
Ca 0.0000 0.0000 0.8887  3 O 2.42
Pm 0.6667 0.3333 0.4297  3 O 2.58
O 0.3333 0.6667 0.6817  3 Ca 2.42, 3 Pm 2.58

Calculated values
The space group is P3m1. The value obtained for the total energy is -16.8 eV/cell. As for the volume: 22.5 Å³ per atom. The total magnetization is 0.33 μB/atom.

# 2
La4Dy3Th | PBE | optimized geometry

Unit cell a=3.4488 b=9.0036 c=9.0036 alpha=97.01 beta=90.00 gamma=90.00
With the nearest neighbours (Å) after each atom.
Fractional positions:
La 0.0000 0.7592 0.7592  2 Th 3.35, 4 Dy 3.37-3.54, 2 La 3.45
La 0.0000 0.2408 0.2408  2 Th 3.35, 4 Dy 3.37-3.54, 2 La 3.45
La 0.5000 0.7487 0.2513  5 Dy 3.35-3.45, 1 Th 3.39, 2 La 3.45
La 0.5000 0.2513 0.7487  5 Dy 3.35-3.45, 1 Th 3.39, 2 La 3.45
Dy 0.0000 0.5000 0.0000  6 La 3.37-3.45, 2 Dy 3.45
Dy 0.5000 0.5000 0.5000  6 La 3.35-3.54, 2 Dy 3.45
Dy 0.0000 0.0000 0.5000  6 La 3.37-3.45, 2 Dy 3.45
Th 0.5000 0.0000 0.0000  6 La 3.35-3.39, 2 Th 3.45

Calculated values
The space group is Cmmm. As for the volume: 34.7 Å³ per atom. The total magnetization is 0.00 μB/atom. The formation energy comes out at 0.363 eV/atom.

# 3
SrSi2Pt | PBE | optimized geometry

Unit cell a=3.4098 b=3.4129 c=6.7963 alpha=90.00 beta=90.00 gamma=90.00
With the nearest neighbours (Å) after each atom.
Fractional positions:
Sr 0.5000 0.5000 0.2500  8 Si 3.27, 2 Pt 3.40, 4 Sr 3.41
Si 0.0000 0.0000 0.5754  1 Si 2.37
Si 0.0000 0.0000 0.9246  1 Si 2.37
Pt 0.5000 0.5000 0.7500  8 Si 2.69

Calculated values
The space group is P4/mmm. The value obtained for the total energy is -19.7 eV/cell. As for the volume: 19.8 Å³ per atom. The total magnetization is 0.00 μB/atom.

# 4
YSiRh | PBE | optimized geometry

Unit cell a=4.5796 b=4.5796 c=4.5796 alpha=60.00 beta=60.00 gamma=60.00
With the nearest neighbours (Å) after each atom.
Fractional positions:
Rh 0.0000 0.0000 0.0000  4 Y 2.80
Y 0.7500 0.7500 0.7500  4 Rh 2.80, 4 Si 2.80
Si 0.5000 0.5000 0.5000  4 Y 2.80

Calculated values
The space group is F-43m. The value obtained for the total energy is -18.8 eV/cell. As for the volume: 22.6 Å³ per atom. The total magnetization is 0.00 μB/atom.

# 5
Nd2Tm3Pt4 | PBE | optimized geometry

Unit cell a=7.1362 b=7.7315 c=8.7142 alpha=90.00 beta=114.17 gamma=90.00
With the nearest neighbours (Å) after each atom.
Fractional positions:
Tm 0.4651 0.2500 0.4303  5 Pt 2.78-2.94
Tm 0.0000 0.0000 0.0000  6 Pt 2.71-3.03
Tm 0.0349 0.7500 0.5697  5 Pt 2.78-2.94
Tm 0.5000 0.5000 0.0000  6 Pt 2.71-3.03
Tm 0.9651 0.2500 0.4303  5 Pt 2.78-2.94
Tm 0.5349 0.7500 0.5697  5 Pt 2.78-2.94
Pt 0.1891 0.9519 0.3781  5 Tm 2.82-3.03, 1 Nd 3.09
Pt 0.6891 0.5481 0.3781  5 Tm 2.82-3.03, 1 Nd 3.09
Pt 0.7097 0.7500 0.9194  3 Tm 2.71-2.78
Pt 0.3109 0.4519 0.6219  5 Tm 2.82-3.03, 1 Nd 3.09
Pt 0.7903 0.2500 0.0806  3 Tm 2.71-2.78
Pt 0.2097 0.7500 0.9194  3 Tm 2.71-2.78
Pt 0.8109 0.0481 0.6219  5 Tm 2.82-3.03, 1 Nd 3.09
Pt 0.2903 0.2500 0.0806  3 Tm 2.71-2.78
Nd 0.4012 0.0985 0.8024  5 Pt 3.07-3.36
Nd 0.5988 0.9015 0.1976  5 Pt 3.07-3.36
Nd 0.9012 0.4015 0.8024  5 Pt 3.07-3.36
Nd 0.0988 0.5985 0.1976  5 Pt 3.07-3.36

Calculated values
The space group is Cmce. As for the volume: 24.4 Å³ per atom. The total magnetization is 0.00 μB/atom. The formation energy comes out at -1.037 eV/atom.

# 6
Hf5Fe2Pb2 | PBE | optimized geometry

Unit cell a=7.5594 b=6.7813 c=8.3487 alpha=90.00 beta=63.08 gamma=90.00
With the nearest neighbours (Å) after each atom.
Fractional positions:
Hf 0.2742 0.6516 0.7874  3 Fe 2.54-2.76
Hf 0.0616 0.6516 0.2126  3 Fe 2.54-2.76
Hf 0.7742 0.8484 0.7874  3 Fe 2.54-2.76
Hf 0.5616 0.8484 0.2126  3 Fe 2.54-2.76
Hf 0.0000 0.0000 0.0000  4 Fe 2.64-2.95
Hf 0.2258 0.1516 0.2126  3 Fe 2.54-2.76
Hf 0.7258 0.3484 0.2126  3 Fe 2.54-2.76
Hf 0.5000 0.5000 0.0000  4 Fe 2.64-2.95
Hf 0.4384 0.1516 0.7874  3 Fe 2.54-2.76
Hf 0.9384 0.3484 0.7874  3 Fe 2.54-2.76
Pb 0.7812 0.0000 0.4376  7 Hf 3.07-3.26
Pb 0.7188 0.5000 0.5624  7 Hf 3.07-3.26
Pb 0.2188 0.0000 0.5624  7 Hf 3.07-3.26
Pb 0.2812 0.5000 0.4376  7 Hf 3.07-3.26
Fe 0.3695 0.8612 0.0000  7 Hf 2.54-2.76, 1 Fe 2.73
Fe 0.1305 0.3612 0.0000  7 Hf 2.54-2.76, 1 Fe 2.73
Fe 0.6305 0.1388 0.0000  7 Hf 2.54-2.76, 1 Fe 2.73
Fe 0.8695 0.6388 0.0000  7 Hf 2.54-2.76, 1 Fe 2.73

Calculated values
The space group is Cmce. As for the volume: 21.2 Å³ per atom. The total magnetization is 0.00 μB/atom. The formation energy comes out at -0.135 eV/atom.

# 7
TlTcSb2 | PBE | optimized geometry

Unit cell a=3.2917 b=3.3025 c=9.2956 alpha=69.08 beta=90.00 gamma=90.00
With the nearest neighbours (Å) after each atom.
Fractional positions:
Sb 0.0000 0.5618 0.4376  4 Tc 2.84
Sb 0.0000 0.9382 0.0624  4 Tc 2.84
Tl 0.5000 0.7500 0.7500  4 Tl 3.29-3.30, 8 Sb 3.57-3.58
Tc 0.5000 0.2500 0.2500  8 Sb 2.84

Calculated values
The space group is P2/m. The value obtained for the total energy is -20.9 eV/cell. As for the volume: 23.6 Å³ per atom. The total magnetization is 0.00 μB/atom.

# 8
Ca2YHPb | PBE | optimized geometry

Unit cell a=4.9967 b=4.9967 c=5.0302 alpha=90.00 beta=90.00 gamma=90.00
With the nearest neighbours (Å) after each atom.
Fractional positions:
Ca 0.0000 0.5000 0.0000  2 H 2.50
Ca 0.5000 0.0000 0.0000  2 H 2.50
H 0.0000 0.0000 0.0000  4 Ca 2.50, 2 Y 2.52
Y 0.0000 0.0000 0.5000  2 H 2.52
Pb 0.5000 0.5000 0.5000  4 Y 3.53, 8 Ca 3.55

Calculated values
The space group is P4/mmm. The value obtained for the total energy is -19.3 eV/cell. As for the volume: 25.1 Å³ per atom. The total magnetization is 0.18 μB/atom.